! NpMo2O6, optimized geometry, DFT PBE with a Hubbard U; values from VASP
! Volume ... 239.2 Å³ per cell
! Spin magnetization ... 14.00 Bohr magnetons per cell
! VASP energy ... -153.57 eV per cell
! ρ ... 7.3 g/cm3
&SYSTEM
  ibrav = 0, nat = 18, ntyp = 3
/
ATOMIC_SPECIES
O 16.00 O.upf
Np 237.00 Np.upf
Mo 95.94 Mo.upf
CELL_PARAMETERS angstrom
-1.444 -1.937 4.276
0.232 -4.498 -1.959
9.465 -0.755 2.854
ATOMIC_POSITIONS crystal
O 0.806 0.194 0.000
O 0.693 0.693 0.835
Np 0.500 0.500 0.000
O 0.307 0.307 0.835
O 0.194 0.806 0.000
O 0.694 0.694 0.500
O 0.807 0.193 0.665
Mo 0.500 0.500 0.667
O 0.807 0.193 0.335
Mo 0.000 0.000 0.833
Mo 0.000 0.000 0.167
O 0.193 0.807 0.665
O 0.693 0.693 0.165
O 0.193 0.807 0.335
O 0.306 0.306 0.500
Mo 0.500 0.500 0.333
O 0.307 0.307 0.165
Np 0.000 0.000 0.500

! Np2MoO8, optimized geometry, DFT PBE with a Hubbard U; values from VASP
! Volume ... 195.1 Å³ per cell
! Spin magnetization ... 4.00 Bohr magnetons per cell
! VASP energy ... -96.60 eV per cell
! ρ ... 5.9 g/cm3
&SYSTEM
  ibrav = 0, nat = 11, ntyp = 3
/
ATOMIC_SPECIES
O 16.00 O.upf
Mo 95.94 Mo.upf
Np 237.00 Np.upf
CELL_PARAMETERS angstrom
-1.454 0.132 -4.374
-6.354 -4.548 0.771
-5.233 3.585 -1.622
ATOMIC_POSITIONS crystal
O 0.283 0.207 0.913
O 0.717 0.793 0.087
O 0.372 0.852 0.790
O 0.628 0.148 0.210
Mo 0.000 0.000 0.000
O 0.149 0.439 0.249
Np 0.866 0.794 0.733
O 0.930 0.060 0.686
O 0.070 0.940 0.314
Np 0.134 0.206 0.267
O 0.851 0.561 0.751

! NpMoO4, optimized geometry, DFT PBE with a Hubbard U; values from VASP
! Volume ... 82.5 Å³ per cell
! Spin magnetization ... 5.00 Bohr magnetons per cell
! VASP energy ... -54.41 eV per cell
! ρ ... 8.0 g/cm3
&SYSTEM
  ibrav = 0, nat = 6, ntyp = 3
/
ATOMIC_SPECIES
Mo 95.94 Mo.upf
O 16.00 O.upf
Np 237.00 Np.upf
CELL_PARAMETERS angstrom
3.452 0.000 0.000
0.000 4.879 -0.315
0.000 0.249 4.883
ATOMIC_POSITIONS crystal
Mo 0.500 0.500 0.500
O 0.500 0.193 0.807
Np 0.000 0.000 0.000
O 0.500 0.807 0.193
O 0.000 0.693 0.693
O 0.000 0.307 0.307

! NpMoPb2O8, optimized geometry, DFT PBE with a Hubbard U; values from VASP
! Volume ... 193.0 Å³ per cell
! Spin magnetization ... 1.00 Bohr magnetons per cell
! VASP energy ... -88.40 eV per cell
! ρ ... 7.5 g/cm3
&SYSTEM
  ibrav = 0, nat = 12, ntyp = 4
/
ATOMIC_SPECIES
O 16.00 O.upf
Pb 207.20 Pb.upf
Np 237.00 Np.upf
Mo 95.94 Mo.upf
CELL_PARAMETERS angstrom
5.379 -0.062 -0.003
-0.048 5.367 -0.006
0.004 0.008 6.687
ATOMIC_POSITIONS crystal
O 0.166 0.831 0.730
Pb 0.500 0.500 0.739
O 0.253 0.250 0.000
O 0.746 0.749 0.500
O 0.166 0.831 0.270
O 0.834 0.169 0.270
O 0.747 0.750 0.000
Np 0.000 0.000 0.000
O 0.834 0.169 0.730
O 0.254 0.251 0.500
Pb 0.500 0.500 0.261
Mo 0.000 0.000 0.500

! PmNpMoO6, optimized geometry, DFT PBE with a Hubbard U; values from VASP
! Volume ... 254.6 Å³ per cell
! Spin magnetization ... 8.00 Bohr magnetons per cell
! VASP energy ... -154.92 eV per cell
! ρ ... 7.5 g/cm3
&SYSTEM
  ibrav = 0, nat = 18, ntyp = 4
/
ATOMIC_SPECIES
O 16.00 O.upf
Pm 145.00 Pm.upf
Mo 95.94 Mo.upf
Np 237.00 Np.upf
CELL_PARAMETERS angstrom
-4.172 -3.234 2.342
4.143 2.234 3.345
-4.899 7.223 1.245
ATOMIC_POSITIONS crystal
O 0.963 0.312 0.126
Pm 0.667 0.333 0.750
Pm 0.333 0.667 0.250
O 0.688 0.037 0.374
Mo 0.000 0.000 0.500
Np 0.333 0.667 0.750
O 0.348 0.037 0.126
O 0.312 0.963 0.626
O 0.963 0.652 0.374
Mo 0.000 0.000 0.000
Np 0.667 0.333 0.250
O 0.652 0.963 0.874
O 0.312 0.348 0.874
O 0.037 0.348 0.626
O 0.652 0.688 0.626
O 0.037 0.688 0.874
O 0.348 0.312 0.374
O 0.688 0.652 0.126

! Rb2NpMoO6, optimized geometry, DFT PBE with a Hubbard U; values from VASP
! Volume ... 296.8 Å³ per cell
! Spin magnetization ... 6.00 Bohr magnetons per cell
! VASP energy ... -147.29 eV per cell
! ρ ... 6.7 g/cm3
&SYSTEM
  ibrav = 0, nat = 20, ntyp = 4
/
ATOMIC_SPECIES
O 16.00 O.upf
Mo 95.94 Mo.upf
Rb 85.47 Rb.upf
Np 237.00 Np.upf
CELL_PARAMETERS angstrom
5.934 0.000 0.000
0.000 5.935 0.000
0.000 0.000 8.428
ATOMIC_POSITIONS crystal
O 0.500 0.250 0.742
Mo 0.000 0.750 0.500
Rb 0.000 0.250 0.250
Np 0.500 0.250 0.500
O 0.756 0.505 0.500
Rb 0.500 0.750 0.250
O 0.000 0.750 0.758
Np 0.000 0.750 0.000
O 0.244 0.994 0.500
Rb 0.500 0.750 0.750
O 0.000 0.750 0.242
O 0.744 0.495 0.000
O 0.500 0.250 0.258
O 0.244 0.505 0.500
Rb 0.000 0.250 0.750
O 0.256 0.006 0.000
Mo 0.500 0.250 0.000
O 0.256 0.495 0.000
O 0.756 0.994 0.500
O 0.744 0.006 0.000